Entry from the Alexandria database: a geometry-optimized TmPd5Au2 structure (PBE).

Calculated values
formation energy from the elements	-48.6	kJ per mole of atoms
N(E_F)	3.623	states/eV/f.u.

Unit cell a=5.723 b=11.420 c=4.146 alpha=90.00 beta=90.00 gamma=90.00
Fractional coordinates of all 16 atoms:
Tm 0.000 0.000 0.000
Tm 0.500 0.500 0.000
Pd 0.000 0.500 0.000
Pd 0.020 0.249 0.000
Pd 0.237 0.876 0.500
Pd 0.263 0.376 0.500
Pd 0.480 0.749 0.000
Pd 0.500 0.000 0.000
Pd 0.520 0.251 0.000
Pd 0.737 0.624 0.500
Pd 0.763 0.124 0.500
Pd 0.980 0.751 0.000
Au 0.230 0.629 0.500
Au 0.270 0.129 0.500
Au 0.730 0.871 0.500
Au 0.770 0.371 0.500

---

Entry from the Alexandria database: a geometry-optimized InNi3Pt structure (PBE).

Calculated values
formation energy from the elements	83.0	kJ per mole of atoms
N(E_F)	7.912	states/eV/f.u.

Unit cell a=4.625 b=4.625 c=4.625 alpha=90.00 beta=90.00 gamma=90.00
Fractional coordinates of all 5 atoms:
In 0.000 0.000 0.000
Ni 0.000 0.500 0.500
Ni 0.500 0.000 0.500
Ni 0.500 0.500 0.000
Pt 0.500 0.500 0.500

---

Entry from the Alexandria database: a geometry-optimized Ba2HfPtSe structure (PBE).

Calculated values
formation energy (no corrections)	-401	meV per atom
N(E_F)	4.302	states/eV/f.u.

Unit cell a=6.225 b=6.225 c=4.987 alpha=90.00 beta=90.00 gamma=90.00
Fractional coordinates of all 5 atoms:
Ba 0.000 0.500 0.000
Ba 0.500 0.000 0.000
Hf 0.000 0.000 0.500
Pt 0.000 0.000 0.000
Se 0.500 0.500 0.500

---

Entry from the Alexandria database: a geometry-optimized PmErCoHg structure (PBE).

Calculated values
formation energy from the elements	-18.3	kJ per mole of atoms
N(E_F)	2.763	states/eV/f.u.

Unit cell a=5.075 b=5.075 c=5.075 alpha=60.00 beta=60.00 gamma=60.00
Fractional coordinates of all 4 atoms:
Pm 0.000 0.000 0.000
Er 0.500 0.500 0.500
Co 0.750 0.750 0.750
Hg 0.250 0.250 0.250

---

Entry from the Alexandria database: a geometry-optimized Pu2HI structure (PBE).

Calculated values
N(E_F)	5.831	states/eV/f.u.

Unit cell a=6.623 b=6.623 c=6.623 alpha=32.43 beta=32.43 gamma=32.43
Fractional coordinates of all 4 atoms:
Pu 0.198 0.198 0.198
Pu 0.802 0.802 0.802
H 0.500 0.500 0.500
I 0.000 0.000 0.000

---

Entry from the Alexandria database: a geometry-optimized AlCCl3 structure (PBE).

Calculated values
formation energy (no corrections)	598	meV per atom
N(E_F)	9.938	states/eV/f.u.

Unit cell a=4.714 b=4.714 c=4.714 alpha=90.00 beta=90.00 gamma=90.00
Fractional coordinates of all 5 atoms:
Al 0.000 0.000 0.000
C 0.500 0.500 0.500
Cl 0.000 0.000 0.500
Cl 0.000 0.500 0.000
Cl 0.500 0.000 0.000

---

Entry from the Alexandria database: a geometry-optimized LaPaP2Rh5 structure (PBE).

Calculated values
formation energy from the elements	-86.5	kJ per mole of atoms
N(E_F)	3.351	states/eV/f.u.

Unit cell a=4.064 b=4.064 c=10.645 alpha=90.00 beta=90.00 gamma=90.00
Fractional coordinates of all 9 atoms:
La 0.000 0.000 0.000
Pa 0.000 0.000 0.500
P 0.500 0.500 0.215
P 0.500 0.500 0.785
Rh 0.000 0.500 0.317
Rh 0.000 0.500 0.683
Rh 0.500 0.000 0.317
Rh 0.500 0.000 0.683
Rh 0.500 0.500 0.000

---

Entry from the Alexandria database: a geometry-optimized SrScAl2Ru structure (PBE).

Calculated values
formation energy from the elements	-29.5	kJ per mole of atoms
N(E_F)	3.004	states/eV/f.u.

Unit cell a=4.888 b=4.888 c=4.922 alpha=90.00 beta=90.00 gamma=90.00
Fractional coordinates of all 5 atoms:
Sr 0.000 0.000 0.000
Sc 0.500 0.500 0.000
Al 0.000 0.500 0.500
Al 0.500 0.000 0.500
Ru 0.500 0.500 0.500

---

E_tot in eV per atom, matching the order above: -5.1273; -4.3646; -5.0660; -4.3697; -8.2928; -3.1028; -7.7854; -5.2603